A plane-wave DFT calculation with PBE with a Hubbard U was carried out for a relaxed structure of NiIO2.

Lattice parameters (Å, degrees): 6.922 3.664 7.287 90.06 105.96 74.58
Sites, in units of the cell vectors:
I 0.570 0.861 0.577
I 0.569 0.500 0.076
Ni 0.937 0.332 0.946
Ni 0.202 0.699 0.207
O 0.785 0.400 0.674
O 0.138 0.232 0.195
O 0.355 0.615 0.479
O 0.002 0.799 0.958

Electronic total energy = -3.827 eV/atom
Energy relative to the lowest polymorph listed for this composition = 177.9 meV per atom
Size of the total moment = 0.316 μB per atom